Entry 1:
# PBE PmHgBi, optimized geometry
# Magnetic moment: 0.00 μB/f.u.
# Space-group type: F-43m, No. 216
# Formation enthalpy at 0 K: -438.1 meV per atom
# Electronic total energy: -3.416 eV per atom
# Distance to the lowest polymorph of the same formula: 110.3 meV/atom
# Density of states at the Fermi level: 0.04 states/eV/atom
data_PmHgBi
_symmetry_space_group_name_H-M 'P 1'
_symmetry_Int_Tables_number 1
_symmetry_space_group_name_Hall 'P 1'
_cell_length_a 5.284
_cell_length_b 5.284
_cell_length_c 5.284
_cell_angle_alpha 60.00
_cell_angle_beta 60.00
_cell_angle_gamma 60.00
loop_
_atom_site_label
_atom_site_fract_x
_atom_site_fract_y
_atom_site_fract_z
Pm1 0.250 0.250 0.250
Hg1 0.000 0.000 0.000
Bi1 0.500 0.500 0.500

=====

Entry 2:
# PBE PmHg6Bi2, optimized geometry
# Magnetic moment: 0.00 μB/f.u.
# Space-group type: P-3m1, No. 164
# Formation enthalpy at 0 K: -156.1 meV per atom
# Electronic total energy: -1.748 eV per atom
# Density of states at the Fermi level: 0.51 states/eV/atom
data_PmHg6Bi2
_symmetry_space_group_name_H-M 'P 1'
_symmetry_Int_Tables_number 1
_symmetry_space_group_name_Hall 'P 1'
_cell_length_a 5.025
_cell_length_b 5.025
_cell_length_c 12.193
_cell_angle_alpha 89.97
_cell_angle_beta 90.00
_cell_angle_gamma 120.00
loop_
_atom_site_label
_atom_site_fract_x
_atom_site_fract_y
_atom_site_fract_z
Hg1 0.667 0.333 0.941
Hg2 0.000 0.000 0.165
Hg3 0.000 0.000 0.835
Bi1 0.333 0.666 0.687
Pm1 0.000 0.000 0.500
Hg4 0.333 0.667 0.059
Bi2 0.667 0.334 0.313
Hg5 0.333 0.667 0.391
Hg6 0.667 0.333 0.609

=====

Entry 3:
# PBE PmHgBi4, optimized geometry
# Magnetic moment: 0.00 μB/f.u.
# Space-group type: F-43m, No. 216
# Formation enthalpy at 0 K: -69.4 meV per atom
# Electronic total energy: -3.499 eV per atom
# Distance to the lowest polymorph of the same formula: 140.1 meV/atom
# Density of states at the Fermi level: 0.71 states/eV/atom
data_PmHgBi4
_symmetry_space_group_name_H-M 'P 1'
_symmetry_Int_Tables_number 1
_symmetry_space_group_name_Hall 'P 1'
_cell_length_a 6.539
_cell_length_b 6.539
_cell_length_c 6.539
_cell_angle_alpha 60.00
_cell_angle_beta 60.00
_cell_angle_gamma 60.00
loop_
_atom_site_label
_atom_site_fract_x
_atom_site_fract_y
_atom_site_fract_z
Bi1 0.624 0.624 0.624
Hg1 0.250 0.250 0.250
Bi2 0.624 0.624 0.128
Pm1 0.000 0.000 0.000
Bi3 0.624 0.128 0.624
Bi4 0.128 0.624 0.624

=====

Entry 4:
# PBE PmPrHgBi, optimized geometry
# Magnetic moment: 0.00 μB/f.u.
# Space-group type: F-43m, No. 216
# Formation enthalpy at 0 K: -579.3 meV per atom
# Electronic total energy: -4.007 eV per atom
# Density of states at the Fermi level: 0.76 states/eV/atom
data_PmPrHgBi
_symmetry_space_group_name_H-M 'P 1'
_symmetry_Int_Tables_number 1
_symmetry_space_group_name_Hall 'P 1'
_cell_length_a 5.516
_cell_length_b 5.516
_cell_length_c 5.516
_cell_angle_alpha 60.00
_cell_angle_beta 60.00
_cell_angle_gamma 60.00
loop_
_atom_site_label
_atom_site_fract_x
_atom_site_fract_y
_atom_site_fract_z
Pr1 0.500 0.500 0.500
Bi1 0.250 0.250 0.250
Pm1 0.000 0.000 0.000
Hg1 0.750 0.750 0.750

=====

Entry 5:
# PBE PmHgBiPt, optimized geometry
# Magnetic moment: 0.00 μB/f.u.
# Space-group type: F-43m, No. 216
# Formation enthalpy at 0 K: -553.9 meV per atom
# Electronic total energy: -4.297 eV per atom
# Density of states at the Fermi level: 0.14 states/eV/atom
data_PmHgBiPt
_symmetry_space_group_name_H-M 'P 1'
_symmetry_Int_Tables_number 1
_symmetry_space_group_name_Hall 'P 1'
_cell_length_a 5.156
_cell_length_b 5.156
_cell_length_c 5.156
_cell_angle_alpha 60.00
_cell_angle_beta 60.00
_cell_angle_gamma 60.00
loop_
_atom_site_label
_atom_site_fract_x
_atom_site_fract_y
_atom_site_fract_z
Pm1 0.500 0.500 0.500
Hg1 0.750 0.750 0.750
Bi1 0.000 0.000 0.000
Pt1 0.250 0.250 0.250

=====

Entry 6:
# PBE RbPmHgBi, optimized geometry
# Magnetic moment: 0.00 μB/f.u.
# Space-group type: F-43m, No. 216
# Formation enthalpy at 0 K: -261.2 meV per atom
# Electronic total energy: -2.736 eV per atom
# Density of states at the Fermi level: 0.91 states/eV/atom
data_RbPmHgBi
_symmetry_space_group_name_H-M 'P 1'
_symmetry_Int_Tables_number 1
_symmetry_space_group_name_Hall 'P 1'
_cell_length_a 5.759
_cell_length_b 5.759
_cell_length_c 5.759
_cell_angle_alpha 60.00
_cell_angle_beta 60.00
_cell_angle_gamma 60.00
loop_
_atom_site_label
_atom_site_fract_x
_atom_site_fract_y
_atom_site_fract_z
Bi1 0.000 0.000 0.000
Rb1 0.250 0.250 0.250
Pm1 0.750 0.750 0.750
Hg1 0.500 0.500 0.500

=====

Entry 7:
# PBE PmHgBiRh, optimized geometry
# Magnetic moment: 0.00 μB/f.u.
# Space-group type: F-43m, No. 216
# Formation enthalpy at 0 K: -345.7 meV per atom
# Electronic total energy: -4.417 eV per atom
# Density of states at the Fermi level: 0.99 states/eV/atom
data_PmHgBiRh
_symmetry_space_group_name_H-M 'P 1'
_symmetry_Int_Tables_number 1
_symmetry_space_group_name_Hall 'P 1'
_cell_length_a 5.107
_cell_length_b 5.107
_cell_length_c 5.107
_cell_angle_alpha 60.00
_cell_angle_beta 60.00
_cell_angle_gamma 60.00
loop_
_atom_site_label
_atom_site_fract_x
_atom_site_fract_y
_atom_site_fract_z
Bi1 0.750 0.750 0.750
Pm1 0.250 0.250 0.250
Rh1 0.000 0.000 0.000
Hg1 0.500 0.500 0.500

=====

Entry 8:
# PBE Pm4HgBiSe2, optimized geometry
# Magnetic moment: 0.00 μB/f.u.
# Space-group type: P2/m, No. 10
# Electronic total energy: -5.002 eV per atom
# Formation energy (no corrections): -9.87 eV/f.u.
# Density of states at the Fermi level: 0.60 states/eV/atom
data_Pm4HgBiSe2
_symmetry_space_group_name_H-M 'P 1'
_symmetry_Int_Tables_number 1
_symmetry_space_group_name_Hall 'P 1'
_cell_length_a 4.294
_cell_length_b 7.812
_cell_length_c 7.322
_cell_angle_alpha 71.46
_cell_angle_beta 90.00
_cell_angle_gamma 90.00
loop_
_atom_site_label
_atom_site_fract_x
_atom_site_fract_y
_atom_site_fract_z
Se1 0.500 0.000 0.500
Bi1 0.500 0.500 0.000
Hg1 0.000 0.500 0.500
Pm1 0.000 0.230 0.258
Pm2 0.000 0.770 0.742
Pm3 0.500 0.228 0.755
Se2 0.000 0.000 0.000
Pm4 0.500 0.772 0.245

=====

Entry 9:
# PBE SrPmHgBi, optimized geometry
# Magnetic moment: 0.00 μB/f.u.
# Space-group type: F-43m, No. 216
# Formation enthalpy at 0 K: -559.3 meV per atom
# Electronic total energy: -3.213 eV per atom
# Density of states at the Fermi level: 1.08 states/eV/atom
data_SrPmHgBi
_symmetry_space_group_name_H-M 'P 1'
_symmetry_Int_Tables_number 1
_symmetry_space_group_name_Hall 'P 1'
_cell_length_a 5.614
_cell_length_b 5.614
_cell_length_c 5.614
_cell_angle_alpha 60.00
_cell_angle_beta 60.00
_cell_angle_gamma 60.00
loop_
_atom_site_label
_atom_site_fract_x
_atom_site_fract_y
_atom_site_fract_z
Pm1 0.000 0.000 0.000
Bi1 0.250 0.250 0.250
Sr1 0.500 0.500 0.500
Hg1 0.750 0.750 0.750

=====

Entry 10:
# PBE Pm6HgBi2Te3, optimized geometry
# Magnetic moment: 0.00 μB/f.u.
# Space-group type: C2/m, No. 12
# Electronic total energy: -4.933 eV per atom
# Formation energy (no corrections): -13.21 eV/f.u.
# Density of states at the Fermi level: 0.45 states/eV/atom
data_Pm6HgBi2Te3
_symmetry_space_group_name_H-M 'P 1'
_symmetry_Int_Tables_number 1
_symmetry_space_group_name_Hall 'P 1'
_cell_length_a 4.469
_cell_length_b 9.074
_cell_length_c 10.069
_cell_angle_alpha 103.09
_cell_angle_beta 102.82
_cell_angle_gamma 90.00
loop_
_atom_site_label
_atom_site_fract_x
_atom_site_fract_y
_atom_site_fract_z
Pm1 0.337 0.919 0.675
Pm2 0.998 0.244 0.997
Bi1 0.834 0.667 0.669
Pm3 0.663 0.081 0.325
Hg1 0.500 0.000 0.000
Te1 0.830 0.166 0.660
Bi2 0.166 0.333 0.331
Pm4 0.002 0.756 0.003
Te2 0.500 0.500 0.000
Te3 0.170 0.834 0.340
Pm5 0.668 0.582 0.335
Pm6 0.332 0.418 0.665

=====

Entry 11:
# PBE PmThHgBi, optimized geometry
# Magnetic moment: 0.00 μB/f.u.
# Space-group type: F-43m, No. 216
# Formation enthalpy at 0 K: -401.6 meV per atom
# Electronic total energy: -4.490 eV per atom
# Density of states at the Fermi level: 1.32 states/eV/atom
data_PmThHgBi
_symmetry_space_group_name_H-M 'P 1'
_symmetry_Int_Tables_number 1
_symmetry_space_group_name_Hall 'P 1'
_cell_length_a 5.500
_cell_length_b 5.500
_cell_length_c 5.500
_cell_angle_alpha 60.00
_cell_angle_beta 60.00
_cell_angle_gamma 60.00
loop_
_atom_site_label
_atom_site_fract_x
_atom_site_fract_y
_atom_site_fract_z
Bi1 0.750 0.750 0.750
Pm1 0.000 0.000 0.000
Th1 0.500 0.500 0.500
Hg1 0.250 0.250 0.250

=====

Entry 12:
# PBE PmTiHgBi, optimized geometry
# Magnetic moment: 2.21 μB/f.u.
# Space-group type: F-43m, No. 216
# Formation enthalpy at 0 K: -177.7 meV per atom
# Electronic total energy: -4.385 eV per atom
# Density of states at the Fermi level: 1.27 states/eV/atom
data_PmTiHgBi
_symmetry_space_group_name_H-M 'P 1'
_symmetry_Int_Tables_number 1
_symmetry_space_group_name_Hall 'P 1'
_cell_length_a 5.234
_cell_length_b 5.234
_cell_length_c 5.234
_cell_angle_alpha 60.00
_cell_angle_beta 60.00
_cell_angle_gamma 60.00
loop_
_atom_site_label
_atom_site_fract_x
_atom_site_fract_y
_atom_site_fract_z
Pm1 0.750 0.750 0.750
Hg1 0.500 0.500 0.500
Bi1 0.000 0.000 0.000
Ti1 0.250 0.250 0.250